[1]
Material: CoCuSn3
Method: DFT, PBE
State: relaxed

Calculated values
The total magnetic moment comes out at 0.00 μB/cell. For the total energy, the calculation gives -21.6 eV per cell. The calculation puts the calculated density at 6800 kg/m3.

Cell lengths 4.889, 4.889, 4.889 Å; angles 90.00, 90.00, 90.00 degrees
Space group Pm-3m (No. 221)
Asymmetric unit:
Co: 0.000 0.000 0.000
Cu: 0.500 0.500 0.500
Sn: 0.000 0.000 0.500

[2]
Material: CoCuSn3
Method: DFT, PBE
State: relaxed

Calculated values
The total magnetic moment comes out at 0.00 μB/cell. For the total energy, the calculation gives -91.3 eV per cell. The calculation puts the calculated density at 7886 kg/m3.

Cell lengths 6.825, 6.781, 9.245 Å; angles 90.00, 109.60, 90.00 degrees
Space group P2_1/c (No. 14)
Asymmetric unit:
Co: 0.205 0.140 0.222
Cu: 0.434 0.183 0.015
Sn: 0.038 0.172 0.906
Sn: 0.206 0.639 0.922
Sn: 0.445 0.051 0.743

Among the records above, which one has the highest calculated density? number 2